No. 1
Compound: GdTlCuTe3
Source: OQMD
Functional: PBE
Structure: optimized geometry

Cell: 11.4893 4.2062 15.4624 Å, 90.00 90.00 90.00°
Element x y z (fractional)
Gd  0.0182  0.2500  0.2430
Gd  0.4818  0.7500  0.7430
Gd  0.5182  0.2500  0.2570
Gd  0.9818  0.7500  0.7570
Tl  0.2207  0.7500  0.5011
Tl  0.2793  0.2500  0.0011
Tl  0.7207  0.7500  0.9989
Tl  0.7793  0.2500  0.4989
Cu  0.2382  0.2500  0.7176
Cu  0.2618  0.7500  0.2176
Cu  0.7382  0.2500  0.7824
Cu  0.7618  0.7500  0.2824
Te  0.0492  0.2500  0.6194
Te  0.0869  0.7500  0.1077
Te  0.2359  0.7500  0.8227
Te  0.2641  0.2500  0.3227
Te  0.4131  0.2500  0.6077
Te  0.4508  0.7500  0.1194
Te  0.5492  0.2500  0.8806
Te  0.5869  0.7500  0.3923
Te  0.7359  0.7500  0.6773
Te  0.7641  0.2500  0.1773
Te  0.9131  0.2500  0.8923
Te  0.9508  0.7500  0.3806

final energy = -24.30 eV per formula unit
density = 7.18 g/cm³

No. 2
Compound: GdBeFe
Source: OQMD
Functional: PBE
Structure: optimized geometry

Cell: 4.2307 4.2307 4.2307 Å, 60.00 60.00 60.00°
Element x y z (fractional)
Gd  0.0000  0.0000  0.0000
Be  0.5000  0.5000  0.5000
Fe  0.7500  0.7500  0.7500

offset from the most stable computed form = 88 meV/atom
density = 6.89 g/cm³

No. 3
Compound: CoCuHgW
Source: OQMD
Functional: PBE
Structure: optimized geometry

Cell: 4.3290 4.3290 4.3290 Å, 60.00 60.00 60.00°
Element x y z (fractional)
Co  0.0000  0.0000  0.0000
Cu  0.5000  0.5000  0.5000
Hg  0.7500  0.7500  0.7500
W  0.2500  0.2500  0.2500

formation energy from the elements = 0.517 eV per atom
offset from the most stable computed form = 0 meV/atom
density = 14.67 g/cm³

No. 4
Compound: TePdPt
Source: OQMD
Functional: PBE
Structure: optimized geometry

Cell: 4.4373 4.4373 4.4373 Å, 60.00 60.00 60.00°
Element x y z (fractional)
Te  0.0000  0.0000  0.0000
Pd  0.2500  0.2500  0.2500
Pt  0.7500  0.7500  0.7500

final energy = -14.62 eV per formula unit
density = 11.53 g/cm³

No. 5
Compound: Dy2HoFe3Co6
Source: OQMD
Functional: PBE
Structure: optimized geometry

Cell: 8.3838 8.3838 8.3838 Å, 35.12 35.12 35.12°
Element x y z (fractional)
Dy  0.1407  0.1407  0.1407
Dy  0.8593  0.8593  0.8593
Ho  0.0000  0.0000  0.0000
Fe  0.3333  0.3333  0.3333
Fe  0.5000  0.5000  0.5000
Fe  0.6667  0.6667  0.6667
Co  0.0809  0.5820  0.5820
Co  0.4180  0.4180  0.9191
Co  0.4180  0.9191  0.4180
Co  0.5820  0.0809  0.5820
Co  0.5820  0.5820  0.0809
Co  0.9191  0.4180  0.4180

formation energy from the elements = -0.182 eV per atom
density = 9.64 g/cm³

No. 6
Compound: PrTlFeTe3
Source: OQMD
Functional: PBE
Structure: optimized geometry

Cell: 8.1627 8.1627 11.7786 Å, 90.00 90.00 148.71°
Element x y z (fractional)
Pr  0.0000  0.0000  0.0000
Pr  0.0000  0.0000  0.5000
Tl  0.2448  0.7552  0.7500
Tl  0.7552  0.2448  0.2500
Fe  0.4713  0.5287  0.2500
Fe  0.5287  0.4713  0.7500
Te  0.0736  0.9264  0.2500
Te  0.3656  0.6344  0.0766
Te  0.3656  0.6344  0.4234
Te  0.6344  0.3656  0.5766
Te  0.6344  0.3656  0.9234
Te  0.9264  0.0736  0.7500

final energy = -28.64 eV per formula unit
density = 6.39 g/cm³

> Which formula does entry 6 have?

PrTlFeTe3

Repeat the first record exactly.
Compound: GdTlCuTe3
Source: OQMD
Functional: PBE
Structure: optimized geometry

Cell: 11.4893 4.2062 15.4624 Å, 90.00 90.00 90.00°
Element x y z (fractional)
Gd  0.0182  0.2500  0.2430
Gd  0.4818  0.7500  0.7430
Gd  0.5182  0.2500  0.2570
Gd  0.9818  0.7500  0.7570
Tl  0.2207  0.7500  0.5011
Tl  0.2793  0.2500  0.0011
Tl  0.7207  0.7500  0.9989
Tl  0.7793  0.2500  0.4989
Cu  0.2382  0.2500  0.7176
Cu  0.2618  0.7500  0.2176
Cu  0.7382  0.2500  0.7824
Cu  0.7618  0.7500  0.2824
Te  0.0492  0.2500  0.6194
Te  0.0869  0.7500  0.1077
Te  0.2359  0.7500  0.8227
Te  0.2641  0.2500  0.3227
Te  0.4131  0.2500  0.6077
Te  0.4508  0.7500  0.1194
Te  0.5492  0.2500  0.8806
Te  0.5869  0.7500  0.3923
Te  0.7359  0.7500  0.6773
Te  0.7641  0.2500  0.1773
Te  0.9131  0.2500  0.8923
Te  0.9508  0.7500  0.3806

final energy = -24.30 eV per formula unit
density = 7.18 g/cm³